Entry 1:
# SrMgTa2 (meta-GGA SCAN, PBEsol geometry)
# ΔE_f: 3.5 eV per formula unit
# Electronic total energy: -39.22 eV per atom
data_SrMgTa2
_chemical_formula_sum 'Sr3 Mg3 Ta6'
_cell_length_a 2.9849
_cell_length_b 2.9849
_cell_length_c 33.1210
_cell_angle_alpha 90.00
_cell_angle_beta 90.00
_cell_angle_gamma 120.00
_symmetry_space_group_name_H-M 'R -3 m'
_symmetry_Int_Tables_number 166
_symmetry_space_group_name_Hall '-R 3 2"'
loop_
_atom_site_label
_atom_site_type_symbol
_atom_site_fract_x
_atom_site_fract_y
_atom_site_fract_z
Sr1 Sr 0.0000 0.0000 0.0000
Mg1 Mg 0.0000 0.0000 0.5000
Ta1 Ta 0.0000 0.0000 0.2434

Entry 2:
# LaPdBr2 (meta-GGA SCAN, PBEsol geometry)
# Raw formation energy: -1.062 eV per atom
# Electronic total energy: -29.76 eV per atom
data_LaPdBr2
_chemical_formula_sum 'La4 Pd4 Br8'
_cell_length_a 7.126
_cell_length_b 7.126
_cell_length_c 7.126
_cell_angle_alpha 90.00
_cell_angle_beta 90.00
_cell_angle_gamma 90.00
_symmetry_space_group_name_H-M 'F m -3 m'
_symmetry_Int_Tables_number 225
_symmetry_space_group_name_Hall '-F 4 2 3'
loop_
_atom_site_label
_atom_site_type_symbol
_atom_site_fract_x
_atom_site_fract_y
_atom_site_fract_z
La1 La 0.000 0.000 0.000
Pd1 Pd 0.000 0.000 0.500
Br1 Br 0.250 0.250 0.250

Entry 3:
# TaMnP2 (meta-GGA SCAN, PBEsol geometry)
# ΔE_f: -2.6 eV per formula unit
# E above lowest polymorph: 0.000 eV/atom
# Electronic total energy: -27.07 eV per atom
data_TaMnP2
_chemical_formula_sum 'Ta2 Mn2 P4'
_cell_length_a 3.185
_cell_length_b 3.244
_cell_length_c 10.520
_cell_angle_alpha 90.00
_cell_angle_beta 90.00
_cell_angle_gamma 90.00
_symmetry_space_group_name_H-M 'I m m 2'
_symmetry_Int_Tables_number 44
_symmetry_space_group_name_Hall 'I 2 -2'
loop_
_atom_site_label
_atom_site_type_symbol
_atom_site_fract_x
_atom_site_fract_y
_atom_site_fract_z
Ta1 Ta 0.000 0.000 0.000
Mn1 Mn 0.000 0.500 0.744
P1 P 0.000 0.000 0.405
P2 P 0.000 0.500 0.179

Entry 4:
# NaBe2H (meta-GGA SCAN, PBEsol geometry)
# Electronic total energy: -2.67 eV per atom
data_NaBe2H
_chemical_formula_sum 'Na4 Be8 H4'
_cell_length_a 5.834
_cell_length_b 5.834
_cell_length_c 5.834
_cell_angle_alpha 90.00
_cell_angle_beta 90.00
_cell_angle_gamma 90.00
_symmetry_space_group_name_H-M 'F m -3 m'
_symmetry_Int_Tables_number 225
_symmetry_space_group_name_Hall '-F 4 2 3'
loop_
_atom_site_label
_atom_site_type_symbol
_atom_site_fract_x
_atom_site_fract_y
_atom_site_fract_z
Na1 Na 0.000 0.000 0.000
Be1 Be 0.250 0.250 0.250
H1 H 0.000 0.000 0.500

Entry 5:
# CaCdHg2 (meta-GGA SCAN, PBEsol geometry)
# ΔE_f: -1.6 eV per formula unit
# Electronic total energy: -44.49 eV per atom
data_CaCdHg2
_chemical_formula_sum 'Ca2 Cd2 Hg4'
_cell_length_a 4.647
_cell_length_b 4.647
_cell_length_c 8.569
_cell_angle_alpha 90.00
_cell_angle_beta 90.00
_cell_angle_gamma 90.00
_symmetry_space_group_name_H-M 'I -4 m 2'
_symmetry_Int_Tables_number 119
_symmetry_space_group_name_Hall 'I -4 -2'
loop_
_atom_site_label
_atom_site_type_symbol
_atom_site_fract_x
_atom_site_fract_y
_atom_site_fract_z
Ca1 Ca 0.000 0.000 0.000
Cd1 Cd 0.000 0.500 0.250
Hg1 Hg 0.000 0.000 0.500
Hg2 Hg 0.000 0.500 0.750

Entry 6:
# CuSi2Te (meta-GGA SCAN, PBEsol geometry)
# Raw formation energy: 0.328 eV per atom
# Electronic total energy: -17.79 eV per atom
data_CuSi2Te
_chemical_formula_sum 'Cu1 Si2 Te1'
_cell_length_a 3.893
_cell_length_b 3.743
_cell_length_c 5.322
_cell_angle_alpha 90.00
_cell_angle_beta 91.25
_cell_angle_gamma 90.00
_symmetry_space_group_name_H-M 'P 1 m 1'
_symmetry_Int_Tables_number 6
_symmetry_space_group_name_Hall 'P -2y'
loop_
_atom_site_label
_atom_site_type_symbol
_atom_site_fract_x
_atom_site_fract_y
_atom_site_fract_z
Cu1 Cu 0.000 0.000 0.000
Si1 Si 0.457 0.000 0.728
Si2 Si 0.851 0.500 0.738
Te1 Te 0.181 0.500 0.314

Entry 7:
# ThAu (meta-GGA SCAN, PBEsol geometry)
# ΔE_f: -1.5 eV per formula unit
# Electronic total energy: -83.28 eV per atom
data_ThAu
_chemical_formula_sum 'Th8 Au8'
_cell_length_a 3.726
_cell_length_b 22.557
_cell_length_c 4.689
_cell_angle_alpha 90.00
_cell_angle_beta 90.00
_cell_angle_gamma 90.00
_symmetry_space_group_name_H-M 'C m c m'
_symmetry_Int_Tables_number 63
_symmetry_space_group_name_Hall '-C 2c 2'
loop_
_atom_site_label
_atom_site_type_symbol
_atom_site_fract_x
_atom_site_fract_y
_atom_site_fract_z
Th1 Th 0.000 0.050 0.250
Th2 Th 0.000 0.197 0.750
Au1 Au 0.000 0.338 0.750
Au2 Au 0.000 0.421 0.250

Entry 8:
# KCdO2 (meta-GGA SCAN, PBEsol geometry)
# Raw formation energy: -0.961 eV per atom
# Electronic total energy: -13.76 eV per atom
data_KCdO2
_chemical_formula_sum 'K4 Cd4 O8'
_cell_length_a 6.256
_cell_length_b 6.256
_cell_length_c 7.065
_cell_angle_alpha 90.00
_cell_angle_beta 90.00
_cell_angle_gamma 90.00
_symmetry_space_group_name_H-M 'I -4 2 d'
_symmetry_Int_Tables_number 122
_symmetry_space_group_name_Hall 'I -4 2bw'
loop_
_atom_site_label
_atom_site_type_symbol
_atom_site_fract_x
_atom_site_fract_y
_atom_site_fract_z
K1 K 0.000 0.000 0.000
Cd1 Cd 0.000 0.000 0.500
O1 O 0.183 0.750 0.625